VASP calculation (PBE-GGA) on Ce2DyTmSe5 after structural relaxation.

The structure in POSCAR format:
```
Ce2DyTmSe5
1.0
5.087 0.000 0.000
0.000 5.087 0.000
0.000 0.000 10.733
Ce Dy Tm Se
2 1 1 5
direct
0.000 0.000 0.199
0.000 0.000 0.801
0.500 0.500 0.500
0.500 0.500 0.000
0.000 0.000 0.500
0.000 0.500 0.000
0.500 0.000 0.000
0.500 0.500 0.254
0.500 0.500 0.746
```

Results
**VASP energy**: -5.586 eV per atom
**Formation energy (no corrections)**: -1.324 eV/atom
**M_tot**: 0.370 μB per atom



VASP calculation (PBE-GGA) on Ce2Dy3TmSe6 after structural relaxation.

The structure in POSCAR format:
```
Ce2Dy3TmSe6
1.0
8.964 -2.041 0.000
8.964 2.041 0.000
-1.958 0.000 8.041
Ce Dy Tm Se
2 3 1 6
direct
0.168 0.168 0.337
0.832 0.832 0.663
0.169 0.169 0.833
0.500 0.500 0.500
0.831 0.831 0.167
0.500 0.500 0.000
0.003 0.003 0.756
0.336 0.336 0.925
0.337 0.337 0.410
0.663 0.663 0.590
0.664 0.664 0.075
0.997 0.997 0.244
```

Results
**VASP energy**: -6.019 eV per atom
**Formation energy (no corrections)**: -1.764 eV/atom
**M_tot**: 0.179 μB per atom